The following is a DFT calculation (PBE with a Hubbard U) of a geometry-optimized KHfMnO4 structure.

Properties
total DFT energy (no corrections): -108.4 eV/cell
DOS(E_F): 0.52 states/eV/cell
space-group type: Imma

Structure (POSCAR):
```
KHfMnO4
1.0
-3.335 3.504 4.325
3.335 -3.504 4.325
3.335 3.504 -4.325
K Hf Mn O
2 2 2 8
Cartesian
0.000 1.752 1.300
3.335 1.752 3.025
1.667 1.752 -2.162
1.667 -1.752 2.162
3.335 0.000 0.000
0.000 0.000 4.325
3.335 -0.414 1.969
3.335 3.090 -1.969
1.973 1.752 -0.125
4.696 1.752 -0.125
-1.362 1.752 4.450
1.362 1.752 4.450
0.000 0.414 6.294
0.000 3.917 2.356
```